No. 1
Na4Ce3ErTe8 | the Alexandria database | PBE-GGA | relaxed; mass density = 5.3 g cm⁻³; DOS at the Fermi energy = 20.31 states/eV/f.u.; volume = 33.487 A^3/atom; energy = -4.563 eV/atom; spin magnetization = 0.19 μB/atom; uncorrected formation energy = -1265 meV/atom
1.0
9.069 0.000 0.000
0.000 12.877 -0.693
-4.535 -6.126 4.917
Na Ce Er Te
4 3 1 8
Direct
0.500 0.000 0.000
0.500 0.000 0.500
0.000 0.000 0.000
0.000 0.000 0.500
0.500 0.500 0.000
0.500 0.500 0.500
0.000 0.500 0.500
0.000 0.500 0.000
0.995 0.736 0.477
0.494 0.741 0.988
0.005 0.264 0.010
0.481 0.736 0.477
0.519 0.264 0.523
0.995 0.736 0.990
0.506 0.259 0.012
0.005 0.264 0.523

***

No. 2
V2Ge2Ru | the Alexandria database | PBE-GGA | relaxed; mass density = 7.7 g cm⁻³; DOS at the Fermi energy = 3.98 states/eV/f.u.; energy above the lowest structure with this stoichiometry = 0 meV/atom; volume = 15.077 A^3/atom; energy = -7.587 eV/atom; spin magnetization = 0.00 μB/atom
1.0
-1.795 -0.074 -3.683
1.507 -5.372 -0.627
-4.724 -1.865 4.620
V Ge Ru
4 4 2
Direct
0.982 0.733 0.964
0.832 0.405 0.663
0.168 0.905 0.337
0.018 0.233 0.036
0.452 0.498 0.904
0.803 0.880 0.605
0.197 0.380 0.395
0.548 0.998 0.096
0.355 0.119 0.709
0.645 0.619 0.291

***

No. 3
Sc6In2HN | the Alexandria database | PBE-GGA | relaxed; mass density = 4.7 g cm⁻³; DOS at the Fermi energy = 11.50 states/eV/f.u.; volume = 18.329 A^3/atom; energy = -6.240 eV/atom; spin magnetization = 0.01 μB/atom
1.0
6.382 0.000 0.000
0.000 6.383 0.000
0.000 0.000 8.999
Sc In H N
12 4 2 2
Direct
0.500 0.250 0.255
0.500 0.250 0.745
0.000 0.750 0.245
0.000 0.750 0.755
0.257 0.007 0.500
0.743 0.007 0.500
0.257 0.493 0.500
0.743 0.493 0.500
0.757 0.507 0.000
0.243 0.507 0.000
0.243 0.993 0.000
0.757 0.993 0.000
0.500 0.750 0.250
0.000 0.250 0.750
0.500 0.750 0.750
0.000 0.250 0.250
0.000 0.750 0.500
0.500 0.250 0.000
0.500 0.250 0.500
0.000 0.750 0.000